Record 1
MoRu2Cl | SCAN | PBEsol geometry

* energy relative to the lowest polymorph listed for this composition: 663 meV per atom
* VASP energy: -27.1389 eV per atom
* ρ: 9761 kg/m3
* formation energy without anion corrections: 0.990 eV/atom
* total magnetization: 0.01 Bohr magnetons per cell

a b c (Å): 3.902 3.902 7.453
angles (deg): 90.00 90.00 90.00
Space group I4/mmm (No. 139)
Asymmetric unit:
1 Mo 0.000 0.000 0.000 [2 per cell]
2 Ru 0.000 0.500 0.250 [4 per cell]
3 Cl 0.000 0.000 0.500 [2 per cell]

=====

Record 2
MoSCl | SCAN | PBEsol geometry

* VASP energy: -18.5263 eV per atom
* ρ: 4910 kg/m3
* formation energy without anion corrections: -1.029 eV/atom
* total magnetization: 0.00 Bohr magnetons per cell

a b c (Å): 9.599 9.599 9.599
angles (deg): 90.00 90.00 90.00
Space group F-43m (No. 216)
Asymmetric unit:
1 Mo 0.102 0.102 0.398 [16 per cell]
2 S 0.136 0.136 0.636 [16 per cell]
3 Cl 0.131 0.131 0.131 [16 per cell]

=====

Record 3
SrMoS2Cl | SCAN | PBEsol geometry

* VASP energy: -16.6398 eV per atom
* ρ: 3031 kg/m3
* formation energy without anion corrections: 0.239 eV/atom
* total magnetization: 3.00 Bohr magnetons per cell

a b c (Å): 5.451 5.451 5.220
angles (deg): 90.00 90.00 90.00
Space group P4/mmm (No. 123)
Asymmetric unit:
1 Sr 0.000 0.000 0.000 [1 per cell]
2 Mo 0.500 0.500 0.500 [1 per cell]
3 S 0.000 0.500 0.000 [2 per cell]
4 Cl 0.000 0.000 0.500 [1 per cell]

=====

Record 4
TlMoSCl2 | SCAN | PBEsol geometry

* VASP energy: -27.1704 eV per atom
* ρ: 5974 kg/m3
* formation energy without anion corrections: -0.605 eV/atom
* total magnetization: 1.87 Bohr magnetons per cell

a b c (Å): 4.940 4.940 4.594
angles (deg): 90.00 90.00 90.00
Space group P4/mmm (No. 123)
Asymmetric unit:
1 Tl 0.000 0.000 0.000 [1 per cell]
2 Mo 0.500 0.500 0.500 [1 per cell]
3 S 0.500 0.500 0.000 [1 per cell]
4 Cl 0.000 0.500 0.500 [2 per cell]

=====

Record 5
YMoSCl2 | SCAN | PBEsol geometry

* VASP energy: -18.4449 eV per atom
* ρ: 3498 kg/m3
* formation energy without anion corrections: -0.782 eV/atom
* total magnetization: 5.00 Bohr magnetons per cell

a b c (Å): 5.103 5.103 5.247
angles (deg): 90.00 90.00 90.00
Space group P4/mmm (No. 123)
Asymmetric unit:
1 Y 0.000 0.000 0.000 [1 per cell]
2 Mo 0.500 0.500 0.500 [1 per cell]
3 S 0.000 0.000 0.500 [1 per cell]
4 Cl 0.000 0.500 0.000 [2 per cell]

=====

Record 6
ZrMoS2Cl | SCAN | PBEsol geometry

* VASP energy: -18.9191 eV per atom
* ρ: 4039 kg/m3
* formation energy without anion corrections: -0.355 eV/atom
* total magnetization: 4.86 Bohr magnetons per cell

a b c (Å): 4.930 4.930 4.850
angles (deg): 90.00 90.00 90.00
Space group P4/mmm (No. 123)
Asymmetric unit:
1 Zr 0.000 0.000 0.000 [1 per cell]
2 Mo 0.500 0.500 0.500 [1 per cell]
3 S 0.000 0.500 0.000 [2 per cell]
4 Cl 0.000 0.000 0.500 [1 per cell]

=====

Record 7
SbMoCl | SCAN | PBEsol geometry

* energy relative to the lowest polymorph listed for this composition: 0 meV per atom
* VASP energy: -26.8437 eV per atom
* ρ: 6485 kg/m3
* formation energy without anion corrections: -0.136 eV/atom
* total magnetization: 0.00 Bohr magnetons per cell

a b c (Å): 3.2124 3.2124 7.2539
angles (deg): 90.00 90.00 120.00
Space group P3m1 (No. 156)
Asymmetric unit:
1 Sb 0.0000 0.0000 0.0000 [1 per cell]
2 Mo 0.6667 0.3333 0.2866 [1 per cell]
3 Cl 0.3333 0.6667 0.5039 [1 per cell]

=====

Record 8
Sb4MoCl | SCAN | PBEsol geometry

* VASP energy: -31.3228 eV per atom
* ρ: 6541 kg/m3
* formation energy without anion corrections: 0.662 eV/atom
* total magnetization: 17.32 Bohr magnetons per cell

a b c (Å): 8.564 8.564 8.564
angles (deg): 90.00 90.00 90.00
Space group F-43m (No. 216)
Asymmetric unit:
1 Sb 0.123 0.123 0.377 [16 per cell]
2 Mo 0.000 0.000 0.000 [4 per cell]
3 Cl 0.250 0.250 0.750 [4 per cell]

=====

Record 9
SbMoCl | SCAN | PBEsol geometry

* energy relative to the lowest polymorph listed for this composition: 497 meV per atom
* VASP energy: -26.3463 eV per atom
* ρ: 7840 kg/m3
* formation energy without anion corrections: 0.362 eV/atom
* total magnetization: 1.90 Bohr magnetons per cell

a b c (Å): 4.4446 4.4446 3.1343
angles (deg): 90.00 90.00 120.00
Space group P-6m2 (No. 187)
Asymmetric unit:
1 Sb 0.0000 0.0000 0.0000 [1 per cell]
2 Mo 0.3333 0.6667 0.5000 [1 per cell]
3 Cl 0.6667 0.3333 0.5000 [1 per cell]

=====

Record 10
SbTe2MoCl | SCAN | PBEsol geometry

* VASP energy: -29.6184 eV per atom
* ρ: 6089 kg/m3
* formation energy without anion corrections: 1.307 eV/atom
* total magnetization: 2.87 Bohr magnetons per cell

a b c (Å): 5.153 5.153 5.221
angles (deg): 90.00 90.00 90.00
Space group P4/mmm (No. 123)
Asymmetric unit:
1 Sb 0.000 0.000 0.000 [1 per cell]
2 Te 0.000 0.500 0.500 [2 per cell]
3 Mo 0.500 0.500 0.000 [1 per cell]
4 Cl 0.000 0.000 0.500 [1 per cell]

=====

Record 11
ScMoCl | SCAN | PBEsol geometry

* VASP energy: -18.5228 eV per atom
* ρ: 5670 kg/m3
* formation energy without anion corrections: 0.511 eV/atom
* total magnetization: 7.87 Bohr magnetons per cell

a b c (Å): 5.912 5.912 5.912
angles (deg): 90.00 90.00 90.00
Space group F-43m (No. 216)
Asymmetric unit:
1 Sc 0.000 0.000 0.000 [4 per cell]
2 Mo 0.000 0.000 0.500 [4 per cell]
3 Cl 0.250 0.250 0.750 [4 per cell]

=====

Record 12
ScMo3Cl | SCAN | PBEsol geometry

* VASP energy: -22.9164 eV per atom
* ρ: 6142 kg/m3
* formation energy without anion corrections: 2.458 eV/atom
* total magnetization: 0.00 Bohr magnetons per cell

a b c (Å): 4.635 4.635 4.635
angles (deg): 90.00 90.00 90.00
Space group Pm-3m (No. 221)
Asymmetric unit:
1 Sc 0.000 0.000 0.000 [1 per cell]
2 Mo 0.000 0.000 0.500 [3 per cell]
3 Cl 0.500 0.500 0.500 [1 per cell]

=====

Record 13
MoSe2Cl12 | SCAN | PBEsol geometry

* VASP energy: -11.9825 eV per atom
* ρ: 2843 kg/m3
* formation energy without anion corrections: -0.597 eV/atom
* total magnetization: 16.00 Bohr magnetons per cell

a b c (Å): 11.832 12.599 21.291
angles (deg): 90.00 90.00 90.00
Space group Fdd2 (No. 43)
Asymmetric unit:
1 Mo 0.000 0.000 0.000 [8 per cell]
2 Se 0.003 0.228 0.585 [16 per cell]
3 Cl 0.110 0.171 0.508 [16 per cell]
4 Cl 0.111 0.421 0.580 [16 per cell]
5 Cl 0.113 0.170 0.662 [16 per cell]
6 Cl 0.115 0.420 0.424 [16 per cell]
7 Cl 0.116 0.154 0.002 [16 per cell]
8 Cl 0.120 0.402 0.081 [16 per cell]

=====

Record 14
MoSe4Cl | SCAN | PBEsol geometry

* VASP energy: -19.7869 eV per atom
* ρ: 6189 kg/m3
* formation energy without anion corrections: 0.743 eV/atom
* total magnetization: 15.16 Bohr magnetons per cell

a b c (Å): 7.830 7.830 7.830
angles (deg): 90.00 90.00 90.00
Space group F-43m (No. 216)
Asymmetric unit:
1 Mo 0.000 0.000 0.000 [4 per cell]
2 Se 0.125 0.125 0.375 [16 per cell]
3 Cl 0.250 0.250 0.750 [4 per cell]

=====

Record 15
MoSe2Cl | SCAN | PBEsol geometry

* energy relative to the lowest polymorph listed for this composition: 192 meV per atom
* VASP energy: -20.8426 eV per atom
* ρ: 5610 kg/m3
* formation energy without anion corrections: -0.088 eV/atom
* total magnetization: 0.00 Bohr magnetons per cell

a b c (Å): 3.124 4.472 12.258
angles (deg): 90.00 90.00 90.00
Space group Imm2 (No. 44)
Asymmetric unit:
1 Mo 0.000 0.000 0.000 [2 per cell]
2 Se 0.000 0.000 0.533 [2 per cell]
3 Se 0.000 0.500 0.659 [2 per cell]
4 Cl 0.000 0.500 0.342 [2 per cell]

=====

Record 16
MoSe2Cl | SCAN | PBEsol geometry

* energy relative to the lowest polymorph listed for this composition: 433 meV per atom
* VASP energy: -20.6015 eV per atom
* ρ: 6058 kg/m3
* formation energy without anion corrections: 0.154 eV/atom
* total magnetization: 0.00 Bohr magnetons per cell

a b c (Å): 3.345 3.345 7.087
angles (deg): 90.00 90.00 90.00
Space group P4mm (No. 99)
Asymmetric unit:
1 Mo 0.000 0.000 0.000 [1 per cell]
2 Se 0.000 0.000 0.358 [1 per cell]
3 Se 0.500 0.500 0.158 [1 per cell]
4 Cl 0.500 0.500 0.757 [1 per cell]

=====

Record 17
MoSe2Cl | SCAN | PBEsol geometry

* energy relative to the lowest polymorph listed for this composition: 0 meV per atom
* VASP energy: -21.0343 eV per atom
* ρ: 6479 kg/m3
* formation energy without anion corrections: -0.279 eV/atom
* total magnetization: 0.00 Bohr magnetons per cell

a b c (Å): 3.2995 3.2995 23.5958
angles (deg): 90.00 90.00 120.00
Space group R-3m (No. 166, hexagonal axes)
Asymmetric unit:
1 Mo 0.0000 0.0000 0.0000 [3 per cell]
2 Se 0.0000 0.0000 0.2618 [6 per cell]
3 Cl 0.0000 0.0000 0.5000 [3 per cell]

=====

Record 18
SiMoCl | SCAN | PBEsol geometry

* VASP energy: -16.1936 eV per atom
* ρ: 5354 kg/m3
* formation energy without anion corrections: 1.433 eV/atom
* total magnetization: 6.24 Bohr magnetons per cell

a b c (Å): 5.827 5.827 5.827
angles (deg): 90.00 90.00 90.00
Space group F-43m (No. 216)
Asymmetric unit:
1 Si 0.000 0.000 0.000 [4 per cell]
2 Mo 0.000 0.000 0.500 [4 per cell]
3 Cl 0.250 0.250 0.750 [4 per cell]

=====

Record 19
Si2MoCl | SCAN | PBEsol geometry

* VASP energy: -15.1302 eV per atom
* ρ: 5326 kg/m3
* formation energy without anion corrections: 0.593 eV/atom
* total magnetization: 0.00 Bohr magnetons per cell

a b c (Å): 5.453 7.581 2.829
angles (deg): 90.00 90.00 90.00
Space group Cmmm (No. 65)
Asymmetric unit:
1 Si 0.250 0.250 0.000 [4 per cell]
2 Mo 0.000 0.000 0.500 [2 per cell]
3 Cl 0.000 0.500 0.500 [2 per cell]

=====

Record 20
Si4MoCl | SCAN | PBEsol geometry

* VASP energy: -13.0974 eV per atom
* ρ: 4591 kg/m3
* formation energy without anion corrections: 0.724 eV/atom
* total magnetization: 0.00 Bohr magnetons per cell

a b c (Å): 7.065 7.065 7.065
angles (deg): 90.00 90.00 90.00
Space group F-43m (No. 216)
Asymmetric unit:
1 Si 0.124 0.124 0.376 [16 per cell]
2 Mo 0.000 0.000 0.000 [4 per cell]
3 Cl 0.250 0.250 0.750 [4 per cell]

=====

Record 21
SnMoCl2 | SCAN | PBEsol geometry

* VASP energy: -21.9466 eV per atom
* ρ: 5192 kg/m3
* formation energy without anion corrections: -0.256 eV/atom
* total magnetization: 0.00 Bohr magnetons per cell

a b c (Å): 3.1059 3.1059 32.7975
angles (deg): 90.00 90.00 120.00
Space group R-3m (No. 166, hexagonal axes)
Asymmetric unit:
1 Sn 0.0000 0.0000 0.0000 [3 per cell]
2 Mo 0.0000 0.0000 0.5000 [3 per cell]
3 Cl 0.0000 0.0000 0.1155 [6 per cell]

=====

Record 22
SrMo2Cl | SCAN | PBEsol geometry

* VASP energy: -24.3009 eV per atom
* ρ: 5515 kg/m3
* formation energy without anion corrections: 0.705 eV/atom
* total magnetization: 0.00 Bohr magnetons per cell

a b c (Å): 3.100 5.333 5.737
angles (deg): 90.00 90.00 90.00
Space group Pmmm (No. 47)
Asymmetric unit:
1 Sr 0.000 0.000 0.000 [1 per cell]
2 Mo 0.500 0.197 0.500 [2 per cell]
3 Cl 0.000 0.500 0.000 [1 per cell]

=====

Record 23
SrMo3Cl | SCAN | PBEsol geometry

* VASP energy: -23.4584 eV per atom
* ρ: 6182 kg/m3
* formation energy without anion corrections: 3.523 eV/atom
* total magnetization: 0.00 Bohr magnetons per cell

a b c (Å): 4.797 4.797 4.797
angles (deg): 90.00 90.00 90.00
Space group Pm-3m (No. 221)
Asymmetric unit:
1 Sr 0.000 0.000 0.000 [1 per cell]
2 Mo 0.000 0.000 0.500 [3 per cell]
3 Cl 0.500 0.500 0.500 [1 per cell]

=====

Record 24
SrMoCl3 | SCAN | PBEsol geometry

* VASP energy: -17.1435 eV per atom
* ρ: 4236 kg/m3
* formation energy without anion corrections: -0.925 eV/atom
* total magnetization: 1.16 Bohr magnetons per cell

a b c (Å): 4.844 4.844 4.844
angles (deg): 90.00 90.00 90.00
Space group Pm-3m (No. 221)
Asymmetric unit:
1 Sr 0.000 0.000 0.000 [1 per cell]
2 Mo 0.500 0.500 0.500 [1 per cell]
3 Cl 0.000 0.500 0.500 [3 per cell]

=====

Record 25
SrMoCl2 | SCAN | PBEsol geometry

* energy relative to the lowest polymorph listed for this composition: 195 meV per atom
* VASP energy: -18.5218 eV per atom
* ρ: 4128 kg/m3
* formation energy without anion corrections: -0.243 eV/atom
* total magnetization: 4.37 Bohr magnetons per cell

a b c (Å): 3.7825 3.7825 24.7814
angles (deg): 90.00 90.00 120.00
Space group R-3m (No. 166, hexagonal axes)
Asymmetric unit:
1 Sr 0.0000 0.0000 0.0000 [3 per cell]
2 Mo 0.0000 0.0000 0.5000 [3 per cell]
3 Cl 0.0000 0.0000 0.1180 [6 per cell]

=====

Record 26
SrMoCl2 | SCAN | PBEsol geometry

* energy relative to the lowest polymorph listed for this composition: 0 meV per atom
* VASP energy: -18.7166 eV per atom
* ρ: 4960 kg/m3
* formation energy without anion corrections: -0.438 eV/atom
* total magnetization: 22.35 Bohr magnetons per cell

a b c (Å): 6.985 6.985 6.985
angles (deg): 90.00 90.00 90.00
Space group Fm-3m (No. 225)
Asymmetric unit:
1 Sr 0.000 0.000 0.000 [4 per cell]
2 Mo 0.000 0.000 0.500 [4 per cell]
3 Cl 0.250 0.250 0.250 [8 per cell]

=====

Record 27
TaMoCl2 | SCAN | PBEsol geometry

* energy relative to the lowest polymorph listed for this composition: 1046 meV per atom
* VASP energy: -28.5888 eV per atom
* ρ: 9347 kg/m3
* formation energy without anion corrections: 0.767 eV/atom
* total magnetization: 0.00 Bohr magnetons per cell

a b c (Å): 3.589 3.589 9.592
angles (deg): 90.00 90.00 90.00
Space group I-4m2 (No. 119)
Asymmetric unit:
1 Ta 0.000 0.000 0.000 [2 per cell]
2 Mo 0.000 0.500 0.750 [2 per cell]
3 Cl 0.000 0.000 0.500 [2 per cell]
4 Cl 0.000 0.500 0.250 [2 per cell]

=====

Record 28
TaMoCl2 | SCAN | PBEsol geometry

* energy relative to the lowest polymorph listed for this composition: 106 meV per atom
* VASP energy: -29.5296 eV per atom
* ρ: 6853 kg/m3
* formation energy without anion corrections: -0.173 eV/atom
* total magnetization: 1.66 Bohr magnetons per cell

a b c (Å): 12.609 3.061 4.395
angles (deg): 90.00 96.56 90.00
Space group C2/m (No. 12)
Asymmetric unit:
1 Ta 0.000 0.000 0.000 [2 per cell]
2 Mo 0.000 0.500 0.500 [2 per cell]
3 Cl 0.153 0.500 0.213 [4 per cell]